Entry 1:
The following is a GGA-PBE calculation of a geometry-optimized Dy9Y2Th structure, from the Alexandria database.

```
12
Lattice="5.027 0.000 0.000 0.000 5.027 0.000 0.000 0.000 15.047" Properties=species:S:1:pos:R:3 pbc="T T T"
Dy 0.000 2.513 7.524
Dy 2.513 2.513 5.038
Y 0.000 0.000 10.039
Y 0.000 0.000 5.008
Dy 2.513 2.513 0.000
Dy 2.513 0.000 12.573
Dy 2.513 2.513 10.009
Dy 2.513 0.000 7.524
Dy 0.000 2.513 12.573
Dy 2.513 0.000 2.474
Dy 0.000 2.513 2.474
Th 0.000 0.000 0.000
```

- Spin magnetization: 0.000 μB per cell
- Crystal system: tetragonal
- Space group: P4/mmm (123)
- DFT formation energy: 28 meV per atom
- N(E_F): 18.11 states/eV/cell
- Uncorrected energy: -5.119 eV/atom

---

Entry 2:
The following is a GGA-PBE calculation of a geometry-optimized Dy3Y2Th6 structure, from the Alexandria database.

```
11
Lattice="3.570 0.000 0.219 1.778 3.095 0.219 -0.160 -0.092 31.805" Properties=species:S:1:pos:R:3 pbc="T T T"
Th 3.390 1.962 3.158
Th 4.821 2.791 9.024
Dy 0.000 0.000 0.000
Dy 3.757 2.174 26.374
Dy 1.432 0.829 5.869
Y 2.327 1.347 20.483
Th 0.898 0.520 14.566
Th 0.367 0.213 23.220
Y 2.862 1.656 11.760
Th 4.290 2.483 17.677
Th 1.799 1.041 29.086
```

- Spin magnetization: 0.000 μB per cell
- Crystal system: trigonal
- Space group: R-3m (166)
- DFT formation energy: 33 meV per atom
- N(E_F): 16.75 states/eV/cell
- Uncorrected energy: -6.445 eV/atom

---

Entry 3:
The following is a GGA-PBE calculation of a geometry-optimized Dy2Y8Th structure, from the Alexandria database.

```
11
Lattice="-1.139 -6.545 -1.161 3.977 -7.130 6.078 -2.420 -6.291 7.626" Properties=species:S:1:pos:R:3 pbc="T T T"
Y -1.731 -10.326 5.119
Y 0.083 -12.732 7.238
Y 0.979 -11.416 10.231
Dy 0.542 -14.709 10.207
Y -0.561 -8.550 2.313
Th 0.000 0.000 0.000
Y 2.150 -9.640 7.425
Y -0.856 -9.246 8.152
Y 0.336 -7.234 5.307
Y 1.274 -10.720 4.392
Dy -0.124 -5.257 2.337
```

- Spin magnetization: 0.000 μB per cell
- Crystal system: monoclinic
- Space group: C2/m (12)
- DFT formation energy: 198 meV per atom
- N(E_F): 18.55 states/eV/cell
- Uncorrected energy: -6.014 eV/atom
- ΔE to the lowest computed polymorph: 0.0218 eV per atom

---

Entry 4:
The following is a GGA-PBE calculation of a geometry-optimized DyY7Th2 structure, from the Alexandria database.

```
10
Lattice="-3.766 0.671 4.864 -10.090 2.678 2.257 0.125 -7.869 -1.472" Properties=species:S:1:pos:R:3 pbc="T T T"
Y -4.758 -0.400 1.566
Y -11.718 1.269 5.148
Th -9.526 -0.723 3.141
Y -2.013 -5.790 0.501
Dy 0.000 0.000 0.000
Th -4.205 -3.797 2.507
Y -8.972 -4.120 4.083
Y -7.391 -2.767 1.192
Y -6.340 -1.753 4.457
Y -6.928 1.674 3.561
```

- Spin magnetization: 0.000 μB per cell
- Crystal system: triclinic
- Space group: P-1 (2)
- DFT formation energy: 34 meV per atom
- N(E_F): 15.58 states/eV/cell
- Uncorrected energy: -6.435 eV/atom

---

Entry 5:
The following is a GGA-PBE calculation of a geometry-optimized Dy3Y4Th structure, from the Alexandria database.

```
8
Lattice="3.382 0.000 0.000 0.000 8.792 1.288 0.000 -2.338 8.573" Properties=species:S:1:pos:R:3 pbc="T T T"
Dy 1.691 3.227 4.930
Dy 0.000 4.396 0.644
Y 0.000 4.882 7.459
Y 0.000 1.572 2.402
Th 1.691 0.000 0.000
Y 1.691 6.002 3.114
Dy 0.000 -1.169 4.286
Y 1.691 0.452 6.747
```

- Spin magnetization: 0.416 μB per cell
- Crystal system: orthorhombic
- Space group: Cmmm (65)
- DFT formation energy: 441 meV per atom
- N(E_F): 19.01 states/eV/cell
- Uncorrected energy: -5.444 eV/atom
- ΔE to the lowest computed polymorph: 0.2713 eV per atom

---

Entry 6:
The following is a GGA-PBE calculation of a geometry-optimized DyYTh2 structure, from the Alexandria database.

```
4
Lattice="3.556 0.000 0.000 0.000 3.556 0.000 0.000 0.000 10.169" Properties=species:S:1:pos:R:3 pbc="T T T"
Th 0.000 0.000 7.641
Y 1.778 1.778 5.084
Th 0.000 0.000 2.528
Dy 1.778 1.778 0.000
```

- Spin magnetization: 0.000 μB per cell
- Crystal system: tetragonal
- Space group: P4/mmm (123)
- DFT formation energy: 53 meV per atom
- N(E_F): 5.78 states/eV/cell
- Uncorrected energy: -6.424 eV/atom
- ΔE to the lowest computed polymorph: 0.0220 eV per atom

---

Entry 7:
The following is a GGA-PBE calculation of a geometry-optimized Dy5Y4Th structure, from the Alexandria database.

```
10
Lattice="-0.109 2.765 5.452 -3.022 -4.671 5.737 6.706 -1.210 4.176" Properties=species:S:1:pos:R:3 pbc="T T T"
Y 3.551 -1.072 7.125
Dy -0.587 -3.020 11.457
Th -0.024 0.615 1.212
Dy 4.803 -3.749 8.506
Dy 4.173 -0.377 3.354
Dy -0.075 1.917 3.780
Y 0.035 -2.323 7.690
Y 1.162 -1.518 3.875
Y 2.424 -1.877 10.940
Dy -1.217 0.352 6.305
```

- Spin magnetization: 0.000 μB per cell
- Crystal system: tetragonal
- Space group: I4mm (107)
- DFT formation energy: 289 meV per atom
- N(E_F): 14.95 states/eV/cell
- Uncorrected energy: -5.340 eV/atom
- ΔE to the lowest computed polymorph: 0.1113 eV per atom

---

Entry 8:
The following is a GGA-PBE calculation of a geometry-optimized Dy6YTh4 structure, from the Alexandria database.

```
11
Lattice="5.787 0.000 -0.844 -0.072 3.394 -0.495 -0.308 0.907 18.149" Properties=species:S:1:pos:R:3 pbc="T T T"
Th 0.928 0.948 6.365
Dy 3.563 0.684 4.166
Th 2.326 2.376 15.946
Dy 4.081 1.213 7.717
Dy 0.452 2.196 3.099
Dy 1.844 3.618 12.644
Dy 4.955 2.106 13.711
Dy 1.326 3.089 9.093
Th 4.479 3.353 10.445
Th 3.081 1.925 0.864
Y 0.000 0.000 0.000
```

- Spin magnetization: 0.000 μB per cell
- Crystal system: orthorhombic
- Space group: Immm (71)
- DFT formation energy: 161 meV per atom
- N(E_F): 15.26 states/eV/cell
- Uncorrected energy: -5.635 eV/atom
- ΔE to the lowest computed polymorph: 0.0000 eV per atom

---

Entry 9:
The following is a GGA-PBE calculation of a geometry-optimized Dy3Y2Th structure, from the Alexandria database.

```
12
Lattice="9.720 0.000 5.570 3.422 6.282 5.294 1.454 0.948 8.728" Properties=species:S:1:pos:R:3 pbc="T T T"
Y 4.127 4.837 9.877
Th 2.438 3.615 7.011
Dy 11.516 6.640 13.700
Dy 4.064 3.256 4.174
Th 0.000 0.000 0.000
Y 8.203 6.008 14.030
Y 6.393 1.222 5.561
Dy 3.080 0.589 5.891
Dy 6.806 2.281 10.655
Dy 10.532 3.973 15.418
Dy 7.790 4.948 8.937
Y 10.468 2.393 9.715
```

- Spin magnetization: 0.000 μB per cell
- Crystal system: orthorhombic
- Space group: Ibam (72)
- DFT formation energy: 613 meV per atom
- N(E_F): 23.29 states/eV/cell
- Uncorrected energy: -5.080 eV/atom
- ΔE to the lowest computed polymorph: 0.3801 eV per atom

---

Entry 10:
The following is a GGA-PBE calculation of a geometry-optimized DyY7Th3 structure, from the Alexandria database.

```
11
Lattice="6.710 -0.399 0.079 -1.211 8.605 0.382 0.727 0.615 6.389" Properties=species:S:1:pos:R:3 pbc="T T T"
Y 4.402 3.361 0.269
Th 3.355 -0.200 0.039
Y -0.242 4.610 3.385
Y 4.934 1.222 2.863
Y 4.707 6.968 4.876
Y 1.292 7.599 3.986
Y 1.519 1.853 1.974
Dy 3.113 4.410 3.425
Th 5.459 6.932 1.510
Th 0.767 1.889 5.340
Y 1.824 5.460 6.581
```

- Spin magnetization: 0.000 μB per cell
- Crystal system: triclinic
- Space group: P-1 (2)
- DFT formation energy: 157 meV per atom
- N(E_F): 18.76 states/eV/cell
- Uncorrected energy: -6.399 eV/atom
- ΔE to the lowest computed polymorph: 0.0000 eV per atom

---

Entry 11:
The following is a GGA-PBE calculation of a geometry-optimized DyYTh14 structure, from the Alexandria database.

```
16
Lattice="-2.961 -5.115 4.069 6.109 3.146 2.066 -6.074 8.050 5.701" Properties=species:S:1:pos:R:3 pbc="T T T"
Th -1.854 6.095 7.099
Th 1.197 2.052 4.236
Th 1.167 -0.145 1.449
Th -0.378 5.238 3.971
Th -4.906 4.516 6.062
Th 4.225 1.429 2.482
Th -1.863 0.484 3.206
Th -3.341 -2.076 5.240
Th -0.310 -2.701 3.484
Th 2.742 -1.131 4.518
Th -0.288 -0.502 6.276
Dy 2.707 6.838 4.997
Th -3.330 3.531 9.132
Th -6.387 1.961 8.099
Y -1.829 2.707 5.999
Th 1.197 4.253 7.039
```

- Spin magnetization: 0.000 μB per cell
- Crystal system: orthorhombic
- Space group: Amm2 (38)
- DFT formation energy: 33 meV per atom
- N(E_F): 19.88 states/eV/cell
- Uncorrected energy: -7.151 eV/atom

---

Entry 12:
The following is a GGA-PBE calculation of a geometry-optimized DyYThZr structure, from the Alexandria database.

```
4
Lattice="5.490 0.000 0.000 2.745 4.754 0.000 2.745 1.585 4.483" Properties=species:S:1:pos:R:3 pbc="T T T"
Zr 8.235 4.754 3.362
Y 2.745 1.585 1.121
Th 0.000 0.000 0.000
Dy 5.490 3.170 2.241
```

- Spin magnetization: 0.005 μB per cell
- Crystal system: cubic
- Space group: F-43m (216)
- DFT formation energy: 176 meV per atom
- N(E_F): 8.08 states/eV/cell
- Uncorrected energy: -6.583 eV/atom
- ΔE to the lowest computed polymorph: 0.0000 eV per atom